Entry 1:
Here is FeWAu2 after structural relaxation from Alexandria. Energies are from PBE-GGA.

Cell lengths 2.7941, 2.7941, 8.1880 Å; angles 90.00, 90.00, 90.00 degrees
Space group P4/mmm (No. 123)
Symmetry-distinct sites (fractional):
Fe: 0.0000 0.0000 0.0000 (multiplicity 1)
W: 0.0000 0.0000 0.5000 (multiplicity 1)
Au: 0.5000 0.5000 0.2392 (multiplicity 2)

Results
The calculation puts the formation energy at 0.335 eV per atom. Its polymorph energy (0 for the lowest one) is 101 meV per atom.

=====

Entry 2:
Here is KRbAsNCl after structural relaxation from Alexandria. Energies are from PBE-GGA.

Cell lengths 4.0378, 3.7533, 8.5501 Å; angles 90.00, 90.47, 90.00 degrees
Space group Pm (No. 6)
Symmetry-distinct sites (fractional):
K: 0.0000 0.0000 0.0000 (multiplicity 1)
Rb: 0.9913 0.0000 0.5505 (multiplicity 1)
As: 0.4429 0.5000 0.2700 (multiplicity 1)
N: 0.5488 0.0000 0.2600 (multiplicity 1)
Cl: 0.4975 0.5000 0.7850 (multiplicity 1)

Results
Its energy relative to the elements, uncorrected is -2.9 eV/f.u. Its polymorph energy (0 for the lowest one) is 39 meV per atom.

=====

Entry 3:
Here is Hf2InPt after structural relaxation from Alexandria. Energies are from PBE-GGA.

Cell lengths 3.1527, 3.1527, 8.0632 Å; angles 90.00, 90.00, 90.00 degrees
Space group P4/mmm (No. 123)
Symmetry-distinct sites (fractional):
Hf: 0.0000 0.0000 0.2234 (multiplicity 2)
In: 0.5000 0.5000 0.5000 (multiplicity 1)
Pt: 0.5000 0.5000 0.0000 (multiplicity 1)

Results
The calculation puts the formation energy at -0.561 eV per atom.

=====

Entry 4:
Here is Pr4GeAs2 after structural relaxation from Alexandria. Energies are from PBE-GGA.

Cell lengths 9.1543, 9.1543, 9.1799 Å; angles 90.00, 90.00, 90.00 degrees
Space group I-42d (No. 122)
Symmetry-distinct sites (fractional):
Pr: 0.0652 0.6828 0.4413 (multiplicity 16)
Ge: 0.0000 0.0000 0.5000 (multiplicity 4)
As: 0.1249 0.7500 0.1250 (multiplicity 8)

Results
The calculation puts the formation energy at -1.112 eV per atom.

=====

Entry 5:
Here is Zn2CrPb after structural relaxation from Alexandria. Energies are from PBE-GGA.

Cell lengths 3.2210, 3.2210, 26.8694 Å; angles 90.00, 90.00, 120.00 degrees
Space group R3m (No. 160, hexagonal axes)
Symmetry-distinct sites (fractional):
Zn: 0.0000 0.0000 0.0000 (multiplicity 3)
Zn: 0.0000 0.0000 0.2623 (multiplicity 3)
Cr: 0.0000 0.0000 0.7389 (multiplicity 3)
Pb: 0.0000 0.0000 0.4972 (multiplicity 3)

Results
The calculation puts the formation energy at 0.438 eV per atom.

=====

Entry 6:
Here is Y5Er2Th5 after structural relaxation from Alexandria. Energies are from PBE-GGA.

Cell lengths 15.0576, 5.0499, 11.3050 Å; angles 90.00, 116.32, 90.00 degrees
Space group C2/m (No. 12)
Symmetry-distinct sites (fractional):
Y: 0.0000 0.0000 0.0000 (multiplicity 2)
Y: 0.0837 0.0000 0.7481 (multiplicity 4)
Y: 0.1679 0.0000 0.5038 (multiplicity 4)
Er: 0.0836 0.5000 0.2501 (multiplicity 4)
Th: 0.0000 0.5000 0.5000 (multiplicity 2)
Th: 0.1695 0.5000 0.0036 (multiplicity 4)
Th: 0.2493 0.0000 0.2453 (multiplicity 4)

Results
The calculation puts the formation energy at 0.050 eV per atom.

=====

Entry 7:
Here is CaPtS after structural relaxation from Alexandria. Energies are from PBE-GGA.

Cell lengths 3.9129, 5.9055, 5.5392 Å; angles 90.00, 90.00, 90.00 degrees
Space group Pmc2_1 (No. 26)
Symmetry-distinct sites (fractional):
Ca: 0.0000 0.1996 0.0000 (multiplicity 2)
Pt: 0.5000 0.4830 0.2935 (multiplicity 2)
S: 0.5000 0.1785 0.5600 (multiplicity 2)

Results
Its energy relative to the elements, uncorrected is -3.5 eV/f.u.

=====

Entry 8:
Here is Y2HfHg after structural relaxation from Alexandria. Energies are from PBE-GGA.

Cell lengths 3.3216, 3.3216, 34.5378 Å; angles 90.00, 90.00, 120.00 degrees
Space group R-3m (No. 166, hexagonal axes)
Symmetry-distinct sites (fractional):
Y: 0.0000 0.0000 0.0924 (multiplicity 6)
Hf: 0.0000 0.0000 0.0000 (multiplicity 3)
Hg: 0.0000 0.0000 0.5000 (multiplicity 3)

Results
The calculation puts the formation energy at 0.277 eV per atom.

=====

Entry 9:
Here is Ce5Si2Hg2 after structural relaxation from Alexandria. Energies are from PBE-GGA.

Cell lengths 16.4301, 7.5721, 7.6425 Å; angles 90.00, 90.00, 90.00 degrees
Space group Cmce (No. 64)
Symmetry-distinct sites (fractional):
Ce: 0.0000 0.0000 0.0000 (multiplicity 4)
Ce: 0.1234 0.1902 0.3195 (multiplicity 16)
Si: 0.0000 0.1115 0.6150 (multiplicity 8)
Hg: 0.2237 0.0000 0.0000 (multiplicity 8)

Results
Its energy relative to the elements, uncorrected is -4.0 eV/f.u.

=====

Entry 10:
Here is ErScRu after structural relaxation from Alexandria. Energies are from PBE-GGA.

Cell lengths 6.5254, 6.5254, 6.5254 Å; angles 90.00, 90.00, 90.00 degrees
Space group F-43m (No. 216)
Symmetry-distinct sites (fractional):
Er: 0.0000 0.0000 0.0000 (multiplicity 4)
Sc: 0.0000 0.0000 0.5000 (multiplicity 4)
Ru: 0.2500 0.2500 0.2500 (multiplicity 4)

Results
The calculation puts the formation energy at -0.320 eV per atom. Its polymorph energy (0 for the lowest one) is 135 meV per atom.

=====

Entry 11:
Here is LiCrCd4 after structural relaxation from Alexandria. Energies are from PBE-GGA.

Cell lengths 8.0518, 8.0518, 8.0518 Å; angles 90.00, 90.00, 90.00 degrees
Space group F-43m (No. 216)
Symmetry-distinct sites (fractional):
Li: 0.0000 0.0000 0.0000 (multiplicity 4)
Cr: 0.2500 0.2500 0.2500 (multiplicity 4)
Cd: 0.1250 0.1250 0.6250 (multiplicity 16)

Results
The calculation puts the formation energy at 0.190 eV per atom.

=====

Entry 12:
Here is Ac5Ge2Pb after structural relaxation from Alexandria. Energies are from PBE-GGA.

Cell lengths 8.7176, 8.7176, 14.9612 Å; angles 90.00, 90.00, 90.00 degrees
Space group I4/mcm (No. 140)
Symmetry-distinct sites (fractional):
Ac: 0.0000 0.0000 0.0000 (multiplicity 4)
Ac: 0.1582 0.3418 0.1394 (multiplicity 16)
Ge: 0.1448 0.3552 0.5000 (multiplicity 8)
Pb: 0.0000 0.0000 0.2500 (multiplicity 4)

Results
The calculation puts the formation energy at -0.572 eV per atom.